Entry from Alexandria via LeMat-Bulk: crystalline Tl2In5Ga4 at its relaxed geometry (PBE-GGA).

Calculated values
distance to the lowest polymorph of the same formula = 14.2 meV/atom

Geometry as CIF:
```
data_Tl2In5Ga4
_cell_length_a 11.9352
_cell_length_b 6.4495
_cell_length_c 9.2633
_cell_angle_alpha 90.00
_cell_angle_beta 127.43
_cell_angle_gamma 90.00
_symmetry_space_group_name_H-M 'C 1 2/m 1'
_symmetry_Int_Tables_number 12
loop_
_symmetry_equiv_pos_as_xyz
'x,y,z'
'-x,-y,-z'
'-x,y,-z'
'x,-y,z'
'x+1/2,y+1/2,z'
'-x+1/2,-y+1/2,-z'
'-x+1/2,y+1/2,-z'
'x+1/2,-y+1/2,z'
loop_
_atom_site_label
_atom_site_type_symbol
_atom_site_fract_x
_atom_site_fract_y
_atom_site_fract_z
Tl1 Tl 0.1811 0.0000 0.2121
In1 In 0.0000 0.5000 0.0000
In2 In 0.0007 0.2607 0.6705
Ga1 Ga 0.2415 0.0000 0.6160
Ga2 Ga 0.2407 0.0000 0.9438
```



Entry from Alexandria via LeMat-Bulk: crystalline ZnAsRu at its relaxed geometry (PBE-GGA).

Calculated values
distance to the lowest polymorph of the same formula = 84.2 meV/atom

Geometry as CIF:
```
data_ZnAsRu
_cell_length_a 3.0233
_cell_length_b 3.0233
_cell_length_c 6.1982
_cell_angle_alpha 90.00
_cell_angle_beta 90.00
_cell_angle_gamma 120.00
_symmetry_space_group_name_H-M 'P 3 m 1'
_symmetry_Int_Tables_number 156
loop_
_symmetry_equiv_pos_as_xyz
'x,y,z'
'-y,x-y,z'
'-x+y,-x,z'
'-y,-x,z'
'-x+y,y,z'
'x,x-y,z'
loop_
_atom_site_label
_atom_site_type_symbol
_atom_site_fract_x
_atom_site_fract_y
_atom_site_fract_z
Zn1 Zn 0.0000 0.0000 0.0000
As1 As 0.3333 0.6667 0.3988
Ru1 Ru 0.6667 0.3333 0.6750
```



Entry from Alexandria via LeMat-Bulk: crystalline LaBe2Au2 at its relaxed geometry (PBE-GGA).

Calculated values
distance to the lowest polymorph of the same formula = 482.3 meV/atom

Geometry as CIF:
```
data_LaBe2Au2
_cell_length_a 7.7942
_cell_length_b 7.7942
_cell_length_c 2.9157
_cell_angle_alpha 90.00
_cell_angle_beta 90.00
_cell_angle_gamma 90.00
_symmetry_space_group_name_H-M 'P 4/m b m'
_symmetry_Int_Tables_number 127
_symmetry_space_group_name_Hall '-P 4 2ab'
loop_
_atom_site_label
_atom_site_type_symbol
_atom_site_fract_x
_atom_site_fract_y
_atom_site_fract_z
La1 La 0.0000 0.0000 0.0000
Be1 Be 0.1507 0.3493 0.5000
Au1 Au 0.1291 0.6291 0.0000
```



Entry from Alexandria via LeMat-Bulk: crystalline YBeRhAu2 at its relaxed geometry (PBE-GGA).

Calculated values
distance to the lowest polymorph of the same formula = 449.9 meV/atom

Geometry as CIF:
```
data_YBeRhAu2
_cell_length_a 5.1032
_cell_length_b 5.1032
_cell_length_c 4.0367
_cell_angle_alpha 90.00
_cell_angle_beta 90.00
_cell_angle_gamma 90.00
_symmetry_space_group_name_H-M 'P 4/m m m'
_symmetry_Int_Tables_number 123
_symmetry_space_group_name_Hall '-P 4 2'
loop_
_atom_site_label
_atom_site_type_symbol
_atom_site_fract_x
_atom_site_fract_y
_atom_site_fract_z
Y1 Y 0.0000 0.0000 0.0000
Be1 Be 0.5000 0.5000 0.0000
Rh1 Rh 0.5000 0.5000 0.5000
Au1 Au 0.0000 0.5000 0.5000
```



| no. | VASP energy (Ry per atom) | formation energy (eV per atom) |
| --- | --- | --- |
| 1 | -0.1988 | 0.0709 |
| 2 | -0.3769 | -0.0614 |
| 3 | -0.2754 | 0.0393 |
| 4 | -0.3547 | -0.0062 |